Version a
DFT (GGA-PBE) results for crystalline BaPdBr4 at its relaxed geometry.

Values from the calculation:
Density   4.2 g cm⁻³
Calculated volume   36.9 Å³/atom
Spin magnetization   0.000 μB per atom
Crystal system   monoclinic

a = 5.696 Å, b = 5.696 Å, c = 14.127 Å
α = 94.85°, β = 94.85°, γ = 76.05°
Fractional coordinates of all 12 atoms:
Ba  0.000  0.500  0.000
Ba  0.500  0.000  0.500
Pd  0.232  0.768  0.750
Pd  0.768  0.232  0.250
Br  0.040  0.500  0.225
Br  0.153  0.686  0.576
Br  0.314  0.847  0.924
Br  0.500  0.040  0.725
Br  0.500  0.960  0.275
Br  0.686  0.153  0.076
Br  0.847  0.314  0.424
Br  0.960  0.500  0.775

---

Version b
DFT (GGA-PBE) results for crystalline BaPdBr4 at its relaxed geometry.

Values from the calculation:
Density   4.0 g cm⁻³
Calculated volume   38.7 Å³/atom
Spin magnetization   0.000 μB per atom
Crystal system   tetragonal

a = 6.717 Å, b = 6.717 Å, c = 6.717 Å
α = 111.79°, β = 111.79°, γ = 104.92°
Fractional coordinates of all 6 atoms:
Ba  0.000  0.000  0.000
Pd  0.250  0.750  0.500
Br  0.016  0.980  0.498
Br  0.020  0.518  0.036
Br  0.482  0.518  0.502
Br  0.482  0.984  0.964

---

Energy ordering: version b at the bottom, the next structure 9.3 kJ/mol of atoms above.

---

Version a
DFT (GGA-PBE) results for crystalline BaPd3Br at its relaxed geometry.

Values from the calculation:
Density   5.5 g cm⁻³
Calculated volume   32.7 Å³/atom
Spin magnetization   0.000 μB per atom
Crystal system   cubic

a = 5.466 Å, b = 5.466 Å, c = 5.466 Å
α = 90.00°, β = 90.00°, γ = 90.00°
Fractional coordinates of all 5 atoms:
Ba  0.000  0.000  0.000
Pd  0.000  0.000  0.500
Pd  0.000  0.500  0.000
Pd  0.500  0.000  0.000
Br  0.500  0.500  0.500

---

Version b
DFT (GGA-PBE) results for crystalline BaPd3Br at its relaxed geometry.

Values from the calculation:
Density   7.1 g cm⁻³
Calculated volume   25.1 Å³/atom
Spin magnetization   0.000 μB per atom
Crystal system   cubic

a = 5.008 Å, b = 5.008 Å, c = 5.008 Å
α = 90.00°, β = 90.00°, γ = 90.00°
Fractional coordinates of all 5 atoms:
Ba  0.000  0.000  0.000
Pd  0.000  0.500  0.500
Pd  0.500  0.000  0.500
Pd  0.500  0.500  0.000
Br  0.500  0.500  0.500

---

Energy ordering: version b at the bottom, the next structure 86.6 kJ/mol of atoms above.